Computed, not measured: crystalline NdPaBi2 at its relaxed geometry at the PBE-GGA level of DFT.

abc: 3.9023 3.9023 7.8170
angles: 90.00 90.00 90.00
Last column: nearest neighbours and their distance in Å.
Atoms (fractional coordinates):
Nd (0.0000, 0.0000, 0.0000)  8 Bi 3.43
Pa (0.0000, 0.0000, 0.5000)  8 Bi 3.33
Bi (0.5000, 0.5000, 0.2611)  4 Pa 3.33, 4 Nd 3.43
Bi (0.5000, 0.5000, 0.7389)  4 Pa 3.33, 4 Nd 3.43

Values from the calculation:
Its crystal system is tetragonal. The final energy is -5.8991 eV per atom. Its volume is 119 Å³/cell. Its space group is P4/mmm, No. 123. The magnetic moment is 1.50 μB/cell. As for the formation enthalpy at 0 K: -0.393 eV per atom.


Computed, not measured: crystalline HgAu3Cl at its relaxed geometry at the PBE-GGA level of DFT.

abc: 5.2689 5.2689 5.2689
angles: 90.00 90.00 90.00
Last column: nearest neighbours and their distance in Å.
Atoms (fractional coordinates):
Hg (0.0000, 0.0000, 0.0000)  6 Au 2.63
Au (0.0000, 0.0000, 0.5000)  2 Hg 2.63
Au (0.0000, 0.5000, 0.0000)  2 Hg 2.63
Au (0.5000, 0.0000, 0.0000)  2 Hg 2.63
Cl (0.5000, 0.5000, 0.5000)  12 Au 3.73

Values from the calculation:
Its crystal system is cubic. The calculation puts the energy relative to the elements, uncorrected at 359 kJ/mol of formula units. The final energy is -1.6519 eV per atom. Its volume is 146 Å³/cell. Its space group is Pm-3m, No. 221. The magnetic moment is 0.00 μB/cell.


Computed, not measured: crystalline Dy3NbTl3S8 at its relaxed geometry at the PBE-GGA level of DFT.

abc: 8.8578 8.8578 8.8578
angles: 52.30 52.30 52.30
Last column: nearest neighbours and their distance in Å.
Atoms (fractional coordinates):
Dy (0.0000, 0.5000, 0.5000)  6 S 2.72-2.75
Dy (0.5000, 0.0000, 0.5000)  6 S 2.72-2.75
Dy (0.5000, 0.5000, 0.0000)  6 S 2.72-2.75
Nb (0.0000, 0.0000, 0.0000)  6 S 2.55
Tl (0.0000, 0.0000, 0.5000)  6 S 3.21
Tl (0.0000, 0.5000, 0.0000)  6 S 3.21
Tl (0.5000, 0.0000, 0.0000)  6 S 3.21
S (0.2186, 0.2186, 0.7536)  1 Nb 2.55, 2 Dy 2.75
S (0.2186, 0.7536, 0.2186)  1 Nb 2.55, 2 Dy 2.75
S (0.2464, 0.7814, 0.7814)  1 Nb 2.55, 2 Dy 2.75
S (0.2668, 0.2668, 0.2668)  3 Dy 2.72
S (0.7332, 0.7332, 0.7332)  3 Dy 2.72
S (0.7536, 0.2186, 0.2186)  1 Nb 2.55, 2 Dy 2.75
S (0.7814, 0.2464, 0.7814)  1 Nb 2.55, 2 Dy 2.75
S (0.7814, 0.7814, 0.2464)  1 Nb 2.55, 2 Dy 2.75

Values from the calculation:
Its crystal system is trigonal. The calculation puts the energy relative to the elements, uncorrected at -1943 kJ/mol of formula units. The final energy is -5.6091 eV per atom. Its volume is 403 Å³/cell. Its space group is R-3m, No. 166. The magnetic moment is 1.01 μB/cell.